1.
11
Lattice="6.992 0.000 0.000 3.478 6.248 0.000 3.317 2.077 6.141" Properties=species:S:1:pos:R:3 comment="BaU2Co2S6 PBE relaxed" raw_formation_energy_ev_per_atom=-1.09 m_tot_mub_per_cell=0.00 pbc="T T T"
Ba 0.000 0.000 0.000
U 2.277 2.780 2.024
U 11.510 5.546 4.117
Co 6.644 4.936 2.218
Co 7.143 3.389 3.923
S 4.640 4.037 1.911
S 5.892 3.809 5.709
S 6.753 6.865 3.330
S 7.034 1.460 2.811
S 7.895 4.516 0.432
S 9.147 4.288 4.230

***

2.
9
Lattice="4.103 0.000 0.000 0.000 2.037 10.970 0.000 -2.037 10.970" Properties=species:S:1:pos:R:3 comment="Dy2Ge6Pt PBE relaxed" m_tot_mub_per_cell=0.00 e_form_ev_per_atom=-0.54 pbc="T T T"
Dy 0.000 0.000 0.000
Dy 0.000 0.000 7.452
Ge 0.000 0.000 13.185
Ge 0.000 0.000 15.700
Ge 2.051 0.000 2.197
Ge 2.051 0.000 4.717
Ge 2.051 0.000 10.181
Ge 2.051 0.000 19.585
Pt 2.051 0.000 17.157

***

3.
15
Lattice="4.438 0.000 0.000 -2.219 3.843 0.000 0.000 0.000 29.260" Properties=species:S:1:pos:R:3 comment="Ba2LiCu2 PBE relaxed" m_tot_mub_per_cell=0.00 de_polymorph_kcal_per_mol_atoms=0.00 e_form_ev_per_atom=0.00 pbc="T T T"
Ba 0.000 0.000 2.187
Ba 0.000 0.000 27.073
Ba 0.000 2.562 17.320
Ba 0.000 2.562 21.694
Ba 2.219 1.281 7.566
Ba 2.219 1.281 11.940
Li 0.000 0.000 14.630
Li 0.000 2.562 4.877
Li 2.219 1.281 24.384
Cu 0.000 0.000 5.340
Cu 0.000 0.000 23.921
Cu 0.000 2.562 14.167
Cu 0.000 2.562 24.847
Cu 2.219 1.281 4.414
Cu 2.219 1.281 15.093